This record from Alexandria via LeMat-Bulk describes a geometry-optimized NaYCo2 structure. The functional is PBE.

a b c (Å): 4.6903 4.6903 4.6903
angles (deg): 60.00 60.00 60.00
With the nearest neighbours (Å) after each atom.
Atoms (fractional coordinates):
Y (0.5000, 0.5000, 0.5000)  8 Co 2.87
Na (0.0000, 0.0000, 0.0000)  8 Co 2.87
Co (0.2500, 0.2500, 0.2500)  4 Na 2.87, 4 Y 2.87
Co (0.7500, 0.7500, 0.7500)  4 Na 2.87, 4 Y 2.87

crystal system: cubic
SG: No. 225
DFT formation energy: 2.234 eV per formula unit

This record from Alexandria via LeMat-Bulk describes a geometry-optimized MnReCl2 structure. The functional is PBE.

a b c (Å): 4.2463 4.2463 4.2463
angles (deg): 60.00 60.00 60.00
With the nearest neighbours (Å) after each atom.
Atoms (fractional coordinates):
Re (0.5000, 0.5000, 0.5000)  8 Cl 2.60
Mn (0.0000, 0.0000, 0.0000)  8 Cl 2.60
Cl (0.2500, 0.2500, 0.2500)  4 Mn 2.60, 4 Re 2.60
Cl (0.7500, 0.7500, 0.7500)  4 Mn 2.60, 4 Re 2.60

crystal system: cubic
SG: No. 225
DFT total energy: -20.0 eV for the cell shown

This record from Alexandria via LeMat-Bulk describes a geometry-optimized La2Pm2ZnGa4 structure. The functional is PBE.

a b c (Å): 6.7591 6.7591 6.7591
angles (deg): 96.81 116.15 116.15
With the nearest neighbours (Å) after each atom.
Atoms (fractional coordinates):
La (0.5000, 0.7500, 0.2500)  8 Ga 3.38, 4 Pm 3.62
La (0.5000, 0.2500, 0.7500)  8 Ga 3.38, 4 Pm 3.62
Pm (0.0000, 0.6838, 0.6838)  1 Zn 2.84, 4 Ga 3.10
Pm (0.0000, 0.3162, 0.3162)  1 Zn 2.84, 4 Ga 3.10
Zn (0.0000, 0.0000, 0.0000)  4 Ga 2.43
Ga (0.0000, 0.7594, 0.2406)  1 Zn 2.43
Ga (0.5188, 0.7594, 0.7594)  1 Zn 2.43
Ga (0.0000, 0.2406, 0.7594)  1 Zn 2.43
Ga (0.4812, 0.2406, 0.2406)  1 Zn 2.43

crystal system: tetragonal
SG: No. 139
DFT formation energy: -3.203 eV per formula unit

This record from Alexandria via LeMat-Bulk describes a geometry-optimized Y2Pd2F structure. The functional is PBE.

a b c (Å): 3.8351 3.8351 8.1687
angles (deg): 76.42 76.42 90.00
With the nearest neighbours (Å) after each atom.
Atoms (fractional coordinates):
Y (0.3824, 0.3824, 0.2351)  4 Pd 2.80
Y (0.6176, 0.6176, 0.7649)  4 Pd 2.80
Pd (0.7500, 0.2500, 0.5000)  4 Pd 2.71, 4 Y 2.80
Pd (0.2500, 0.7500, 0.5000)  4 Pd 2.71, 4 Y 2.80
F (0.0000, 0.0000, 0.0000)  8 Y 3.26

crystal system: tetragonal
SG: No. 139
DFT total energy: -30.0 eV for the cell shown

This record from Alexandria via LeMat-Bulk describes a geometry-optimized La6Pt2C structure. The functional is PBE.

a b c (Å): 6.7808 7.4835 10.3152
angles (deg): 90.00 89.49 90.00
With the nearest neighbours (Å) after each atom.
Atoms (fractional coordinates):
La (0.1278, 0.0388, 0.2634)  1 C 2.60
La (0.1698, 0.3075, 0.5601)  1 C 2.65
La (0.1864, 0.3298, 0.9374)  1 C 2.57
La (0.3136, 0.8298, 0.5626)  1 C 2.57
La (0.3302, 0.8075, 0.9399)  1 C 2.65
La (0.3722, 0.5388, 0.2366)  1 C 2.60
La (0.8722, 0.9612, 0.7366)  1 C 2.60
La (0.8302, 0.6925, 0.4399)  1 C 2.65
La (0.8136, 0.6702, 0.0626)  1 C 2.57
La (0.6864, 0.1702, 0.4374)  1 C 2.57
La (0.6698, 0.1925, 0.0601)  1 C 2.65
La (0.6278, 0.4612, 0.7634)  1 C 2.60
Pt (0.0550, 0.6045, 0.7493)  6 La 2.95-3.12
Pt (0.4450, 0.1045, 0.7507)  6 La 2.95-3.12
Pt (0.5550, 0.8955, 0.2493)  6 La 2.95-3.12
Pt (0.9450, 0.3955, 0.2507)  6 La 2.95-3.12
C (0.5000, 0.5000, 0.0000)  6 La 2.57-2.65
C (0.0000, 0.0000, 0.5000)  6 La 2.57-2.65

crystal system: monoclinic
SG: No. 14
DFT formation energy: -5.416 eV per formula unit

This record from Alexandria via LeMat-Bulk describes a geometry-optimized Si2PRu structure. The functional is PBE.

a b c (Å): 5.9729 4.3939 2.8801
angles (deg): 90.15 60.92 121.36
With the nearest neighbours (Å) after each atom.
Atoms (fractional coordinates):
P (0.0000, 0.5000, 0.5000)  2 Ru 2.61, 8 Si 2.62-2.63, 2 P 2.88
Ru (0.5000, 0.5000, 0.0000)  2 P 2.61, 8 Si 2.62-2.63, 2 Ru 2.88
Si (0.0000, 0.0000, 0.0000)  4 Si 2.61-2.88, 4 Ru 2.62-2.63, 4 P 2.62-2.63
Si (0.5000, 0.0000, 0.5000)  4 Si 2.61-2.88, 4 P 2.62-2.63, 4 Ru 2.62-2.63

crystal system: monoclinic
SG: No. 12
DFT total energy: -25.0 eV for the cell shown

This record from Alexandria via LeMat-Bulk describes a geometry-optimized NaSrGa2Ir structure. The functional is PBE.

a b c (Å): 4.9142 4.9142 5.7222
angles (deg): 90.00 90.00 90.00
With the nearest neighbours (Å) after each atom.
Atoms (fractional coordinates):
Sr (0.0000, 0.0000, 0.5000)  2 Ir 2.86
Ir (0.0000, 0.0000, 0.0000)  4 Ga 2.46
Ga (0.0000, 0.5000, 0.0000)  2 Ir 2.46
Ga (0.5000, 0.0000, 0.0000)  2 Ir 2.46
Na (0.5000, 0.5000, 0.5000)  4 Sr 3.47, 8 Ga 3.77

crystal system: tetragonal
SG: No. 123
DFT formation energy: -1.152 eV per formula unit

This record from Alexandria via LeMat-Bulk describes a geometry-optimized ScRe2Hg structure. The functional is PBE.

a b c (Å): 5.5065 5.5065 5.5065
angles (deg): 145.46 132.14 60.35
With the nearest neighbours (Å) after each atom.
Atoms (fractional coordinates):
Hg (0.2500, 0.7500, 0.5000)  4 Sc 2.77, 4 Re 2.93
Re (0.9952, 0.9952, 0.0000)  4 Re 2.77, 2 Sc 2.85, 2 Hg 2.93
Re (0.5048, 0.5048, 0.0000)  4 Re 2.77, 2 Sc 2.85, 2 Hg 2.93
Sc (0.7500, 0.2500, 0.5000)  4 Hg 2.77, 4 Re 2.85

crystal system: orthorhombic
SG: No. 71
DFT formation energy: 1.588 eV per formula unit

This record from Alexandria via LeMat-Bulk describes a geometry-optimized K2ReSI structure. The functional is PBE.

a b c (Å): 6.4985 5.5714 6.4985
angles (deg): 90.00 90.00 90.00
With the nearest neighbours (Å) after each atom.
Atoms (fractional coordinates):
I (0.0000, 0.0000, 0.0000)  2 S 2.79
Re (0.5000, 0.5000, 0.5000)  8 K 4.28, 4 S 4.60
K (0.0000, 0.0000, 0.5000)  2 I 3.25
K (0.5000, 0.0000, 0.0000)  2 I 3.25
S (0.0000, 0.5000, 0.0000)  2 I 2.79

crystal system: tetragonal
SG: No. 123
DFT total energy: -15.2 eV for the cell shown

This record from Alexandria via LeMat-Bulk describes a geometry-optimized SrSi2Sb structure. The functional is PBE.

a b c (Å): 8.1278 8.1278 8.1278
angles (deg): 28.47 28.47 28.47
With the nearest neighbours (Å) after each atom.
Atoms (fractional coordinates):
Sb (0.7500, 0.7500, 0.7500)  6 Si 2.80
Si (0.0155, 0.0155, 0.0155)  3 Sb 2.80
Si (0.4845, 0.4845, 0.4845)  3 Sb 2.80
Sr (0.2500, 0.2500, 0.2500)  6 Si 3.27

crystal system: trigonal
SG: No. 166
DFT total energy: -15.9 eV for the cell shown

This record from Alexandria via LeMat-Bulk describes a geometry-optimized MnAs2Pd7Pb2 structure. The functional is PBE.

a b c (Å): 4.0077 4.0077 14.7435
angles (deg): 78.89 78.89 89.92
With the nearest neighbours (Å) after each atom.
Atoms (fractional coordinates):
Mn (0.0000, 0.0000, 0.0000)  12 Pd 2.80-2.84
As (0.6716, 0.6716, 0.7589)  5 Pd 2.48-2.52
As (0.3284, 0.3284, 0.2411)  5 Pd 2.48-2.52
Pd (0.5000, 0.5000, 0.0000)  8 Pd 2.80, 4 Mn 2.83-2.84
Pd (0.1947, 0.1947, 0.4185)  1 As 2.52, 1 Pd 2.79
Pd (0.8053, 0.8053, 0.5815)  1 As 2.52, 1 Pd 2.79
Pd (0.9025, 0.4025, 0.1378)  2 As 2.48-2.49
Pd (0.4025, 0.9025, 0.1378)  2 As 2.48-2.49
Pd (0.5975, 0.0975, 0.8622)  2 As 2.48-2.49
Pd (0.0975, 0.5975, 0.8622)  2 As 2.48-2.49
Pb (0.7219, 0.7219, 0.3894)  5 Pd 2.83-3.00
Pb (0.2781, 0.2781, 0.6106)  5 Pd 2.83-3.00

crystal system: monoclinic
SG: No. 12
DFT formation energy: -3.073 eV per formula unit

This record from Alexandria via LeMat-Bulk describes a geometry-optimized Tc2AgSbBr structure. The functional is PBE.

a b c (Å): 4.6139 4.6139 5.5018
angles (deg): 90.00 90.00 90.00
With the nearest neighbours (Å) after each atom.
Atoms (fractional coordinates):
Sb (0.0000, 0.0000, 0.5000)  2 Br 2.75
Br (0.0000, 0.0000, 0.0000)  4 Tc 2.31
Tc (0.0000, 0.5000, 0.0000)  2 Br 2.31
Tc (0.5000, 0.0000, 0.0000)  2 Br 2.31
Ag (0.5000, 0.5000, 0.5000)  4 Sb 3.26, 8 Tc 3.59

crystal system: tetragonal
SG: No. 123
DFT total energy: -21.2 eV for the cell shown

This record from Alexandria via LeMat-Bulk describes a geometry-optimized BaPdCl3 structure. The functional is PBE.

a b c (Å): 5.0531 5.0531 5.0531
angles (deg): 90.00 90.00 90.00
With the nearest neighbours (Å) after each atom.
Atoms (fractional coordinates):
Ba (0.5000, 0.5000, 0.5000)  12 Cl 3.57
Pd (0.0000, 0.0000, 0.0000)  6 Cl 2.53
Cl (0.0000, 0.5000, 0.0000)  2 Pd 2.53
Cl (0.0000, 0.0000, 0.5000)  2 Pd 2.53
Cl (0.5000, 0.0000, 0.0000)  2 Pd 2.53

crystal system: cubic
SG: No. 221
DFT total energy: -19.8 eV for the cell shown